(1)
VASP calculation (PBE-GGA) on an optimized crystal structure of Mn2Si.

a b c (Å): 10.1320 10.1320 10.1320
angles (deg): 165.03 165.03 21.23
Each line ends with the local moment (μB).
Element x y z (fractional)
Si (0.0000, 0.0000, 0.0000)  -0.01
Si (0.7500, 0.2500, 0.5000)  -0.01
Mn (0.3281, 0.8281, 0.5000)  0.45
Mn (0.4219, 0.4219, 0.0000)  0.45
Mn (0.5781, 0.5781, 0.0000)  0.45
Mn (0.1719, 0.6719, 0.5000)  0.45

Output
uncorrected formation energy	0.0899	eV/atom
spin magnetization	1.82	μB per cell

(2)
VASP calculation (PBE-GGA) on an optimized crystal structure of MnOsSe.

a b c (Å): 2.9450 2.9450 18.4044
angles (deg): 90.00 90.00 120.00
Each line ends with the local moment (μB).
Element x y z (fractional)
Se (0.6667, 0.3333, 0.5463)  -0.04
Os (0.0000, 0.0000, 0.0780)  -0.03
Mn (0.3333, 0.6667, 0.3084)  2.59
Se (0.0000, 0.0000, 0.2130)  -0.04
Os (0.6667, 0.3333, 0.4113)  -0.03
Mn (0.0000, 0.0000, 0.6418)  2.59
Mn (0.6667, 0.3333, 0.9751)  2.59
Os (0.3333, 0.6667, 0.7446)  -0.03
Se (0.3333, 0.6667, 0.8796)  -0.04

Output
ΔE to the lowest computed polymorph	4.5	kJ/mol of atoms
uncorrected formation energy	0.3018	eV/atom
spin magnetization	7.78	μB per cell

(3)
VASP calculation (PBE-GGA) on an optimized crystal structure of Ge2RhI.

a b c (Å): 4.8695 4.8695 4.8695
angles (deg): 60.00 60.00 60.00
Element x y z (fractional)
Ge (0.2500, 0.2500, 0.2500)
I (0.5000, 0.5000, 0.5000)
Ge (0.7500, 0.7500, 0.7500)
Rh (0.0000, 0.0000, 0.0000)

Output
ΔE to the lowest computed polymorph	53.6	kJ/mol of atoms
uncorrected formation energy	0.6397	eV/atom
spin magnetization	0.00	μB per cell

(4)
VASP calculation (PBE-GGA) on an optimized crystal structure of Pr6Rh2Br3Cl.

a b c (Å): 7.3891 7.3891 8.0074
angles (deg): 98.83 98.83 119.85
Element x y z (fractional)
Rh (0.6677, 0.3323, 0.0000)
Cl (0.0000, 0.0000, 0.0000)
Pr (0.5686, 0.9309, 0.7962)
Pr (0.2953, 0.2953, 0.7994)
Pr (0.0691, 0.4314, 0.2038)
Br (0.5000, 0.5000, 0.5000)
Br (0.8410, 0.1590, 0.5000)
Rh (0.3323, 0.6677, 0.0000)
Pr (0.7047, 0.7047, 0.2006)
Pr (0.9309, 0.5686, 0.7962)
Pr (0.4314, 0.0691, 0.2038)
Br (0.1590, 0.8410, 0.5000)

Output
uncorrected formation energy	-1.1285	eV/atom
spin magnetization	0.00	μB per cell

(5)
VASP calculation (PBE-GGA) on an optimized crystal structure of CaTl2Si.

a b c (Å): 4.6037 5.0381 5.0439
angles (deg): 75.87 90.00 90.00
Element x y z (fractional)
Tl (0.0000, 0.5441, 0.5438)
Tl (0.0000, 0.9559, 0.9562)
Si (0.5000, 0.7500, 0.7500)
Ca (0.5000, 0.2500, 0.2500)

Output
ΔE to the lowest computed polymorph	3.0	kJ/mol of atoms
uncorrected formation energy	-0.0240	eV/atom
spin magnetization	0.00	μB per cell

(6)
VASP calculation (PBE-GGA) on an optimized crystal structure of Cd4CuRh.

a b c (Å): 5.5001 5.5001 5.5001
angles (deg): 60.00 60.00 60.00
Element x y z (fractional)
Cd (0.3749, 0.8754, 0.3749)
Cu (0.7500, 0.7500, 0.7500)
Cd (0.8754, 0.3749, 0.3749)
Rh (0.0000, 0.0000, 0.0000)
Cd (0.3749, 0.3749, 0.8754)
Cd (0.3749, 0.3749, 0.3749)

Output
ΔE to the lowest computed polymorph	28.5	kJ/mol of atoms
spin magnetization	0.00	μB per cell
formation energy	0.35	eV per atom

(7)
VASP calculation (PBE-GGA) on an optimized crystal structure of LiPmPbI6.

a b c (Å): 7.7776 7.7776 14.2219
angles (deg): 90.00 90.00 120.00
Element x y z (fractional)
Pb (0.0000, 0.0000, 0.5000)
I (0.3558, 0.0093, 0.6277)
I (0.9907, 0.3465, 0.6277)
I (0.3465, 0.3558, 0.3723)
I (0.0093, 0.3558, 0.1277)
I (0.6535, 0.6442, 0.6277)
Pm (0.6667, 0.3333, 0.2500)
I (0.6535, 0.0093, 0.8723)
I (0.3558, 0.3465, 0.8723)
Pm (0.3333, 0.6667, 0.7500)
I (0.6442, 0.6535, 0.1277)
Pb (0.0000, 0.0000, 0.0000)
Li (0.3333, 0.6667, 0.2500)
I (0.9907, 0.6442, 0.8723)
I (0.6442, 0.9907, 0.3723)
I (0.0093, 0.6535, 0.3723)
Li (0.6667, 0.3333, 0.7500)
I (0.3465, 0.9907, 0.1277)

Output
uncorrected formation energy	-1.0709	eV/atom
spin magnetization	0.00	μB per cell

(8)
VASP calculation (PBE-GGA) on an optimized crystal structure of NdDy3Mg.

a b c (Å): 3.7648 8.1941 10.4362
angles (deg): 90.00 90.00 90.02
Element x y z (fractional)
Dy (0.7500, 0.2236, 0.5017)
Nd (0.7500, 0.5565, 0.2500)
Dy (0.7500, 0.9403, 0.2500)
Dy (0.2500, 0.0597, 0.7500)
Mg (0.7500, 0.7591, 0.7500)
Nd (0.2500, 0.4435, 0.7500)
Dy (0.2500, 0.7764, 0.4983)
Dy (0.7500, 0.2236, 0.9983)
Mg (0.2500, 0.2409, 0.2500)
Dy (0.2500, 0.7764, 0.0017)

Output
ΔE to the lowest computed polymorph	13.7	kJ/mol of atoms
spin magnetization	0.00	μB per cell
formation energy	0.13	eV per atom